No. 1
# BaFe2SbO8 (PBE with a Hubbard U, optimized geometry)
data_BaFe2SbO8
_chemical_formula_sum 'Ba1 Fe2 Sb1 O8'
_symmetry_space_group_name_H-M 'P 1'
_symmetry_Int_Tables_number 1
_symmetry_space_group_name_Hall 'P 1'
_cell_length_a 5.370
_cell_length_b 5.370
_cell_length_c 7.449
_cell_angle_alpha 90.00
_cell_angle_beta 90.00
_cell_angle_gamma 120.00
loop_
_atom_site_label
_atom_site_type_symbol
_atom_site_fract_x
_atom_site_fract_y
_atom_site_fract_z
Ba1 Ba 0.000 0.000 0.000
Fe1 Fe 0.667 0.333 0.282
Fe2 Fe 0.333 0.667 0.718
Sb1 Sb 0.000 0.000 0.500
O1 O 0.333 0.667 0.948
O2 O 0.309 0.276 0.336
O3 O 0.724 0.033 0.336
O4 O 0.667 0.333 0.052
O5 O 0.276 0.967 0.664
O6 O 0.691 0.724 0.664
O7 O 0.033 0.309 0.664
O8 O 0.967 0.691 0.336
# - Fermi-level density of states (states/eV per atom) = 0.51
# - ρ (g cm⁻³) = 4.5
# - E (eV/atom) = -6.00
# - space group = P-3
# - crystal system = trigonal

***

No. 2
# Ba3ScFe2O6 (PBE with a Hubbard U, optimized geometry)
data_Ba3ScFe2O6
_chemical_formula_sum 'Ba3 Sc1 Fe2 O6'
_symmetry_space_group_name_H-M 'P 1'
_symmetry_Int_Tables_number 1
_symmetry_space_group_name_Hall 'P 1'
_cell_length_a 6.060
_cell_length_b 6.060
_cell_length_c 7.033
_cell_angle_alpha 90.00
_cell_angle_beta 90.00
_cell_angle_gamma 120.00
loop_
_atom_site_label
_atom_site_type_symbol
_atom_site_fract_x
_atom_site_fract_y
_atom_site_fract_z
Ba1 Ba 0.333 0.667 0.650
Ba2 Ba 0.667 0.333 0.350
Ba3 Ba 0.000 0.000 0.000
Sc1 Sc 0.000 0.000 0.500
Fe1 Fe 0.667 0.333 0.781
Fe2 Fe 0.333 0.667 0.219
O1 O 0.676 0.838 0.316
O2 O 0.162 0.324 0.316
O3 O 0.162 0.838 0.316
O4 O 0.838 0.676 0.684
O5 O 0.324 0.162 0.684
O6 O 0.838 0.162 0.684
# - Fermi-level density of states (states/eV per atom) = 0.14
# - ρ (g cm⁻³) = 4.9
# - E (eV/atom) = -6.66
# - space group = P-3m1
# - crystal system = trigonal

***

No. 3
# Ba2ScFeO5 (PBE with a Hubbard U, optimized geometry)
data_Ba2ScFeO5
_chemical_formula_sum 'Ba4 Sc2 Fe2 O10'
_symmetry_space_group_name_H-M 'P 1'
_symmetry_Int_Tables_number 1
_symmetry_space_group_name_Hall 'P 1'
_cell_length_a 3.464
_cell_length_b 7.805
_cell_length_c 11.068
_cell_angle_alpha 90.00
_cell_angle_beta 90.00
_cell_angle_gamma 102.82
loop_
_atom_site_label
_atom_site_type_symbol
_atom_site_fract_x
_atom_site_fract_y
_atom_site_fract_z
Ba1 Ba 0.866 0.733 0.813
Ba2 Ba 0.113 0.225 0.679
Ba3 Ba 0.134 0.267 0.313
Ba4 Ba 0.887 0.775 0.179
Sc1 Sc 0.788 0.575 0.524
Sc2 Sc 0.212 0.425 0.024
Fe1 Fe 0.559 0.118 0.946
Fe2 Fe 0.441 0.882 0.446
O1 O 0.340 0.681 0.002
O2 O 0.681 0.362 0.893
O3 O 0.501 0.002 0.799
O4 O 0.289 0.579 0.641
O5 O 0.946 0.891 0.527
O6 O 0.660 0.319 0.502
O7 O 0.319 0.638 0.393
O8 O 0.499 0.998 0.299
O9 O 0.711 0.421 0.141
O10 O 0.054 0.109 0.027
# - Fermi-level density of states (states/eV per atom) = 0.00
# - ρ (g cm⁻³) = 5.2
# - E (eV/atom) = -7.04
# - space group = Cmc2_1
# - crystal system = orthorhombic

***

No. 4
# Ba3ScFe2O8 (PBE with a Hubbard U, optimized geometry)
data_Ba3ScFe2O8
_chemical_formula_sum 'Ba3 Sc1 Fe2 O8'
_symmetry_space_group_name_H-M 'P 1'
_symmetry_Int_Tables_number 1
_symmetry_space_group_name_Hall 'P 1'
_cell_length_a 5.893
_cell_length_b 5.893
_cell_length_c 7.549
_cell_angle_alpha 90.00
_cell_angle_beta 90.00
_cell_angle_gamma 120.00
loop_
_atom_site_label
_atom_site_type_symbol
_atom_site_fract_x
_atom_site_fract_y
_atom_site_fract_z
Ba1 Ba 0.333 0.667 0.655
Ba2 Ba 0.667 0.333 0.345
Ba3 Ba 0.000 0.000 0.000
Sc1 Sc 0.000 0.000 0.500
Fe1 Fe 0.333 0.667 0.223
Fe2 Fe 0.667 0.333 0.777
O1 O 0.333 0.667 0.985
O2 O 0.667 0.333 0.015
O3 O 0.165 0.835 0.329
O4 O 0.835 0.165 0.671
O5 O 0.165 0.330 0.329
O6 O 0.835 0.670 0.671
O7 O 0.670 0.835 0.329
O8 O 0.330 0.165 0.671
# - Fermi-level density of states (states/eV per atom) = 0.61
# - ρ (g cm⁻³) = 5.1
# - E (eV/atom) = -6.81
# - space group = P-3m1
# - crystal system = trigonal

***

No. 5
# Ba3ScFe2O9 (PBE with a Hubbard U, optimized geometry)
data_Ba3ScFe2O9
_chemical_formula_sum 'Ba3 Sc1 Fe2 O9'
_symmetry_space_group_name_H-M 'P 1'
_symmetry_Int_Tables_number 1
_symmetry_space_group_name_Hall 'P 1'
_cell_length_a 5.778
_cell_length_b 5.778
_cell_length_c 7.061
_cell_angle_alpha 90.00
_cell_angle_beta 90.00
_cell_angle_gamma 120.00
loop_
_atom_site_label
_atom_site_type_symbol
_atom_site_fract_x
_atom_site_fract_y
_atom_site_fract_z
Ba1 Ba 0.333 0.667 0.670
Ba2 Ba 0.000 0.000 0.000
Ba3 Ba 0.667 0.333 0.330
Sc1 Sc 0.000 0.000 0.500
Fe1 Fe 0.333 0.667 0.167
Fe2 Fe 0.667 0.333 0.833
O1 O 0.828 0.172 0.674
O2 O 0.828 0.656 0.674
O3 O 0.344 0.172 0.674
O4 O 0.656 0.828 0.326
O5 O 0.172 0.344 0.326
O6 O 0.172 0.828 0.326
O7 O 0.500 0.000 0.000
O8 O 0.000 0.500 0.000
O9 O 0.500 0.500 0.000
# - Fermi-level density of states (states/eV per atom) = 0.75
# - ρ (g cm⁻³) = 5.8
# - E (eV/atom) = -6.70
# - space group = P-3m1
# - crystal system = trigonal

***

No. 6
# BaFeSiO4 (PBE with a Hubbard U, optimized geometry)
data_BaFeSiO4
_chemical_formula_sum 'Ba2 Fe2 Si2 O8'
_symmetry_space_group_name_H-M 'P 1'
_symmetry_Int_Tables_number 1
_symmetry_space_group_name_Hall 'P 1'
_cell_length_a 5.389
_cell_length_b 5.917
_cell_length_c 6.909
_cell_angle_alpha 90.00
_cell_angle_beta 106.29
_cell_angle_gamma 90.00
loop_
_atom_site_label
_atom_site_type_symbol
_atom_site_fract_x
_atom_site_fract_y
_atom_site_fract_z
Ba1 Ba 0.725 0.750 0.935
Ba2 Ba 0.275 0.250 0.065
Fe1 Fe 0.853 0.750 0.491
Fe2 Fe 0.147 0.250 0.509
Si1 Si 0.259 0.750 0.322
Si2 Si 0.741 0.250 0.678
O1 O 0.950 0.464 0.688
O2 O 0.050 0.964 0.312
O3 O 0.050 0.536 0.312
O4 O 0.950 0.036 0.688
O5 O 0.350 0.750 0.115
O6 O 0.650 0.250 0.885
O7 O 0.496 0.750 0.529
O8 O 0.504 0.250 0.471
# - Fermi-level density of states (states/eV per atom) = 0.00
# - ρ (g cm⁻³) = 4.5
# - E (eV/atom) = -7.11
# - space group = P2_1/m
# - crystal system = monoclinic

***

No. 7
# Ba2SmFeO6 (PBE with a Hubbard U, optimized geometry)
data_Ba2SmFeO6
_chemical_formula_sum 'Ba2 Sm1 Fe1 O6'
_symmetry_space_group_name_H-M 'P 1'
_symmetry_Int_Tables_number 1
_symmetry_space_group_name_Hall 'P 1'
_cell_length_a 5.945
_cell_length_b 5.945
_cell_length_c 5.945
_cell_angle_alpha 60.00
_cell_angle_beta 60.00
_cell_angle_gamma 60.00
loop_
_atom_site_label
_atom_site_type_symbol
_atom_site_fract_x
_atom_site_fract_y
_atom_site_fract_z
O1 O 0.229 0.771 0.771
O2 O 0.771 0.229 0.771
O3 O 0.229 0.771 0.229
O4 O 0.771 0.771 0.229
O5 O 0.771 0.229 0.229
O6 O 0.229 0.229 0.771
Ba1 Ba 0.250 0.250 0.250
Ba2 Ba 0.750 0.750 0.750
Sm1 Sm 0.500 0.500 0.500
Fe1 Fe 0.000 0.000 0.000
# - Fermi-level density of states (states/eV per atom) = 0.39
# - ρ (g cm⁻³) = 6.4
# - E (eV/atom) = -6.67
# - space group = Fm-3m
# - crystal system = cubic

***

No. 8
# BaSmFe2O5 (PBE with a Hubbard U, optimized geometry)
data_BaSmFe2O5
_chemical_formula_sum 'Ba1 Sm1 Fe2 O5'
_symmetry_space_group_name_H-M 'P 1'
_symmetry_Int_Tables_number 1
_symmetry_space_group_name_Hall 'P 1'
_cell_length_a 4.007
_cell_length_b 4.007
_cell_length_c 7.675
_cell_angle_alpha 90.00
_cell_angle_beta 90.00
_cell_angle_gamma 90.00
loop_
_atom_site_label
_atom_site_type_symbol
_atom_site_fract_x
_atom_site_fract_y
_atom_site_fract_z
Ba1 Ba 0.000 0.000 0.500
Sm1 Sm 0.000 0.000 0.000
Fe1 Fe 0.500 0.500 0.235
Fe2 Fe 0.500 0.500 0.765
O1 O 0.000 0.500 0.191
O2 O 0.500 0.000 0.191
O3 O 0.000 0.500 0.809
O4 O 0.500 0.000 0.809
O5 O 0.500 0.500 0.500
# - Fermi-level density of states (states/eV per atom) = 0.02
# - ρ (g cm⁻³) = 6.5
# - E (eV/atom) = -7.02
# - space group = P4/mmm
# - crystal system = tetragonal

***

No. 9
# Ba3SmFe2O8 (PBE with a Hubbard U, optimized geometry)
data_Ba3SmFe2O8
_chemical_formula_sum 'Ba3 Sm1 Fe2 O8'
_symmetry_space_group_name_H-M 'P 1'
_symmetry_Int_Tables_number 1
_symmetry_space_group_name_Hall 'P 1'
_cell_length_a 6.092
_cell_length_b 6.092
_cell_length_c 7.671
_cell_angle_alpha 90.00
_cell_angle_beta 90.00
_cell_angle_gamma 120.00
loop_
_atom_site_label
_atom_site_type_symbol
_atom_site_fract_x
_atom_site_fract_y
_atom_site_fract_z
Ba1 Ba 0.333 0.667 0.657
Ba2 Ba 0.667 0.333 0.343
Ba3 Ba 0.000 0.000 0.000
Sm1 Sm 0.000 0.000 0.500
Fe1 Fe 0.333 0.667 0.211
Fe2 Fe 0.667 0.333 0.789
O1 O 0.333 0.667 0.976
O2 O 0.667 0.333 0.024
O3 O 0.171 0.829 0.315
O4 O 0.829 0.171 0.685
O5 O 0.171 0.342 0.315
O6 O 0.829 0.658 0.685
O7 O 0.658 0.829 0.315
O8 O 0.342 0.171 0.685
# - Fermi-level density of states (states/eV per atom) = 0.67
# - ρ (g cm⁻³) = 5.4
# - E (eV/atom) = -6.65
# - space group = P-3m1
# - crystal system = trigonal

***

No. 10
# Ba3SmFe2O9 (PBE with a Hubbard U, optimized geometry)
data_Ba3SmFe2O9
_chemical_formula_sum 'Ba3 Sm1 Fe2 O9'
_symmetry_space_group_name_H-M 'P 1'
_symmetry_Int_Tables_number 1
_symmetry_space_group_name_Hall 'P 1'
_cell_length_a 5.881
_cell_length_b 5.881
_cell_length_c 7.254
_cell_angle_alpha 90.00
_cell_angle_beta 90.00
_cell_angle_gamma 120.00
loop_
_atom_site_label
_atom_site_type_symbol
_atom_site_fract_x
_atom_site_fract_y
_atom_site_fract_z
Ba1 Ba 0.333 0.667 0.684
Ba2 Ba 0.000 0.000 0.000
Ba3 Ba 0.667 0.333 0.316
Sm1 Sm 0.000 0.000 0.500
Fe1 Fe 0.333 0.667 0.162
Fe2 Fe 0.667 0.333 0.838
O1 O 0.822 0.178 0.688
O2 O 0.822 0.644 0.688
O3 O 0.356 0.178 0.688
O4 O 0.644 0.822 0.312
O5 O 0.178 0.356 0.312
O6 O 0.178 0.822 0.312
O7 O 0.500 0.000 0.000
O8 O 0.000 0.500 0.000
O9 O 0.500 0.500 0.000
# - Fermi-level density of states (states/eV per atom) = 0.70
# - ρ (g cm⁻³) = 6.3
# - E (eV/atom) = -6.54
# - space group = P-3m1
# - crystal system = trigonal

***

No. 11
# BaSmFe4O12 (PBE with a Hubbard U, optimized geometry)
data_BaSmFe4O12
_chemical_formula_sum 'Ba1 Sm1 Fe4 O12'
_symmetry_space_group_name_H-M 'P 1'
_symmetry_Int_Tables_number 1
_symmetry_space_group_name_Hall 'P 1'
_cell_length_a 5.467
_cell_length_b 5.467
_cell_length_c 7.701
_cell_angle_alpha 90.00
_cell_angle_beta 90.00
_cell_angle_gamma 90.00
loop_
_atom_site_label
_atom_site_type_symbol
_atom_site_fract_x
_atom_site_fract_y
_atom_site_fract_z
Ba1 Ba 0.500 0.500 0.000
Sm1 Sm 0.000 0.000 0.500
Fe1 Fe 0.000 0.500 0.749
Fe2 Fe 0.000 0.500 0.251
Fe3 Fe 0.500 0.000 0.251
Fe4 Fe 0.500 0.000 0.749
O1 O 0.240 0.240 0.266
O2 O 0.240 0.240 0.734
O3 O 0.760 0.760 0.734
O4 O 0.760 0.760 0.266
O5 O 0.760 0.240 0.734
O6 O 0.760 0.240 0.266
O7 O 0.240 0.760 0.734
O8 O 0.240 0.760 0.266
O9 O 0.000 0.500 0.500
O10 O 0.000 0.500 0.000
O11 O 0.500 0.000 0.500
O12 O 0.500 0.000 0.000
# - Fermi-level density of states (states/eV per atom) = 0.35
# - ρ (g cm⁻³) = 5.1
# - E (eV/atom) = -6.23
# - space group = P4/mmm
# - crystal system = tetragonal

***

No. 12
# Ba3SmFe2O6 (PBE with a Hubbard U, optimized geometry)
data_Ba3SmFe2O6
_chemical_formula_sum 'Ba3 Sm1 Fe2 O6'
_symmetry_space_group_name_H-M 'P 1'
_symmetry_Int_Tables_number 1
_symmetry_space_group_name_Hall 'P 1'
_cell_length_a 6.284
_cell_length_b 6.284
_cell_length_c 7.142
_cell_angle_alpha 90.00
_cell_angle_beta 90.00
_cell_angle_gamma 120.00
loop_
_atom_site_label
_atom_site_type_symbol
_atom_site_fract_x
_atom_site_fract_y
_atom_site_fract_z
Ba1 Ba 0.333 0.667 0.648
Ba2 Ba 0.667 0.333 0.352
Ba3 Ba 0.000 0.000 0.000
Sm1 Sm 0.000 0.000 0.500
Fe1 Fe 0.667 0.333 0.792
Fe2 Fe 0.333 0.667 0.208
O1 O 0.665 0.832 0.302
O2 O 0.168 0.335 0.302
O3 O 0.168 0.832 0.302
O4 O 0.832 0.665 0.698
O5 O 0.335 0.168 0.698
O6 O 0.832 0.168 0.698
# - Fermi-level density of states (states/eV per atom) = 0.13
# - ρ (g cm⁻³) = 5.2
# - E (eV/atom) = -6.46
# - space group = P-3m1
# - crystal system = trigonal